Model one:
## KRbCdPb (PBE)

Data for crystalline KRbCdPb at its relaxed geometry.

abc: 5.383 5.383 7.440
angles: 111.24 111.24 60.09
Fractional positions:
K1 0.000 0.000 0.000
Rb1 0.795 0.795 0.386
Cd1 0.240 0.240 0.721
Pb1 0.572 0.572 0.718

## Properties
size of the total moment = 0.0 Bohr magnetons per cell
space group = No. 8

Model two:
## KRbCdPb (PBE)

Data for crystalline KRbCdPb at its relaxed geometry.

abc: 5.836 5.836 5.836
angles: 60.00 60.00 60.00
Fractional positions:
K1 0.000 0.000 0.000
Rb1 0.250 0.250 0.250
Cd1 0.500 0.500 0.500
Pb1 0.750 0.750 0.750

## Properties
size of the total moment = 0.0 Bohr magnetons per cell
space group = No. 216

The least stable of them is model two.

Model one:
## KCd3Pd (PBE)

Data for crystalline KCd3Pd at its relaxed geometry.

abc: 3.133 7.326 7.326
angles: 49.50 90.00 90.00
Fractional positions:
K1 0.000 0.000 0.000
Cd1 0.000 0.015 0.509
Cd2 0.000 0.509 0.015
Cd3 0.500 0.600 0.600
Pd1 0.500 0.395 0.395

## Properties
size of the total moment = 0.0 Bohr magnetons per cell
space group = No. 38

Model two:
## KCd3Pd (PBE)

Data for crystalline KCd3Pd at its relaxed geometry.

abc: 4.938 10.929 8.819
angles: 90.00 90.00 90.00
Fractional positions:
K1 0.002 0.250 0.146
K2 0.498 0.750 0.646
K3 0.502 0.250 0.354
K4 0.998 0.750 0.854
Cd1 0.000 0.052 0.843
Cd2 0.000 0.448 0.843
Cd3 0.000 0.552 0.157
Cd4 0.000 0.948 0.157
Cd5 0.001 0.250 0.607
Cd6 0.499 0.750 0.107
Cd7 0.500 0.052 0.657
Cd8 0.500 0.448 0.657
Cd9 0.500 0.552 0.343
Cd10 0.500 0.948 0.343
Cd11 0.501 0.250 0.893
Cd12 0.999 0.750 0.393
Pd1 0.000 0.000 0.500
Pd2 0.000 0.500 0.500
Pd3 0.500 0.000 0.000
Pd4 0.500 0.500 0.000

## Properties
size of the total moment = 0.0 Bohr magnetons per cell
space group = No. 62

Model three:
## KCd3Pd (PBE)

Data for crystalline KCd3Pd at its relaxed geometry.

abc: 9.463 7.991 6.791
angles: 90.00 90.00 90.00
Fractional positions:
K1 0.000 0.000 0.000
K2 0.000 0.500 0.000
K3 0.500 0.000 0.500
K4 0.500 0.500 0.500
Cd1 0.141 0.068 0.469
Cd2 0.141 0.432 0.469
Cd3 0.224 0.750 0.295
Cd4 0.276 0.250 0.795
Cd5 0.359 0.568 0.969
Cd6 0.359 0.932 0.969
Cd7 0.641 0.068 0.031
Cd8 0.641 0.432 0.031
Cd9 0.724 0.750 0.205
Cd10 0.776 0.250 0.705
Cd11 0.859 0.568 0.531
Cd12 0.859 0.932 0.531
Pd1 0.192 0.750 0.689
Pd2 0.308 0.250 0.189
Pd3 0.692 0.750 0.811
Pd4 0.808 0.250 0.311

## Properties
size of the total moment = 0.0 Bohr magnetons per cell
space group = No. 62

Model four:
## KCd3Pd (PBE)

Data for crystalline KCd3Pd at its relaxed geometry.

abc: 5.789 6.309 7.173
angles: 87.19 79.10 79.47
Fractional positions:
K1 0.000 0.000 0.000
K2 0.477 0.138 0.327
Cd1 0.112 0.728 0.520
Cd2 0.363 0.411 0.807
Cd3 0.480 0.637 0.142
Cd4 0.566 0.922 0.767
Cd5 0.910 0.217 0.560
Cd6 0.995 0.502 0.185
Pd1 0.626 0.615 0.493
Pd2 0.849 0.524 0.834

## Properties
size of the total moment = 0.0 Bohr magnetons per cell
space group = No. 1

The least stable of them is model three.

Model one:
## KCd3Pd (PBE)

Data for crystalline KCd3Pd at its relaxed geometry.

abc: 8.997 8.997 6.216
angles: 99.30 99.30 86.38
Fractional positions:
K1 0.239 0.761 0.750
K2 0.240 0.760 0.250
K3 0.760 0.240 0.750
K4 0.761 0.239 0.250
Cd1 0.105 0.364 0.499
Cd2 0.105 0.364 0.999
Cd3 0.364 0.105 0.499
Cd4 0.364 0.105 0.999
Cd5 0.400 0.401 0.835
Cd6 0.401 0.400 0.335
Cd7 0.599 0.600 0.665
Cd8 0.600 0.599 0.165
Cd9 0.636 0.895 0.001
Cd10 0.636 0.895 0.501
Cd11 0.895 0.636 0.001
Cd12 0.895 0.636 0.501
Pd1 0.092 0.092 0.171
Pd2 0.092 0.092 0.671
Pd3 0.908 0.908 0.329
Pd4 0.908 0.908 0.829

## Properties
size of the total moment = 0.0 Bohr magnetons per cell
space group = No. 15

Model two:
## KCd3Pd (PBE)

Data for crystalline KCd3Pd at its relaxed geometry.

abc: 9.812 9.812 5.703
angles: 90.00 90.00 148.00
Fractional positions:
K1 0.197 0.803 0.750
K2 0.803 0.197 0.250
Cd1 0.000 0.000 0.000
Cd2 0.000 0.000 0.500
Cd3 0.140 0.374 0.750
Cd4 0.374 0.140 0.250
Cd5 0.626 0.860 0.750
Cd6 0.860 0.626 0.250
Pd1 0.481 0.519 0.250
Pd2 0.519 0.481 0.750

## Properties
size of the total moment = 0.0 Bohr magnetons per cell
space group = No. 63

The least stable of them is model two.